The following is a DFT calculation (SCAN) of ScAlW2 at its PBEsol-relaxed geometry.

Properties
The total energy comes out at -40.447 eV/atom. The space group is P4mm, No. 99.

Lattice parameters (Å, degrees): 3.2335 3.2335 6.3939 90.00 90.00 90.00
Last column: nearest neighbours and their distance in Å.
Atoms (fractional coordinates):
Sc 0.0000 0.0000 0.0000  5 W 2.85-3.09, 4 Al 2.92
Al 0.5000 0.5000 0.7169  5 W 2.73-2.88, 4 Sc 2.92
W 0.0000 0.0000 0.4830  4 W 2.68, 4 Al 2.73
W 0.5000 0.5000 0.2658  4 W 2.68, 4 Sc 2.85, 1 Al 2.88